Here is Tb2Pm6Er3 after structural relaxation from Alexandria via LeMat-Bulk. Energies are from PBE-GGA.

POSCAR file:
```
Tb2Pm6Er3
1.0
-0.766 -3.536 -3.101
4.330 -1.756 0.933
-8.253 -6.760 13.409
Tb Pm Er
2 6 3
Direct
0.455 0.455 0.909
0.545 0.545 0.091
0.121 0.621 0.241
0.621 0.121 0.241
0.879 0.379 0.759
0.379 0.879 0.759
0.700 0.700 0.400
0.300 0.300 0.600
0.000 0.000 0.000
0.802 0.802 0.605
0.198 0.198 0.395
```

Output
- symmetry = I4/mmm (139)
- total moment (Bohr magnetons per cell) = 0.00
- calculated formation energy (eV per atom) = 0.296